Below is a relaxed RbCr2Ag crystal, with properties calculated at the PBE level.

Lattice parameters (Å, degrees): 10.262 10.262 10.262 148.11 148.11 45.73
Positions (direct):
Rb 0.000 0.000 0.000
Rb 0.750 0.250 0.500
Cr 0.365 0.125 0.740
Cr 0.375 0.635 0.760
Cr 0.385 0.625 0.260
Cr 0.875 0.615 0.240
Ag 0.250 0.750 0.500
Ag 0.500 0.500 0.000

Results
DFT total energy	-4.6153	eV per atom
space group	No. 122
polymorph energy (0 for the lowest one)	0	meV per atom
ΔH_f (0 K)	4.60	eV per formula unit